No. 1
Density functional theory data (PBE-GGA) for crystalline Dy2B2Rh5 at its relaxed geometry.

a = 4.163 Å, b = 4.163 Å, c = 8.120 Å
α = 90.00°, β = 90.00°, γ = 90.00°
Space group P4/mmm (No. 123)
Symmetry-distinct sites (fractional):
1 Dy 0.000 0.000 0.000 [1 per cell]
2 Dy 0.000 0.000 0.500 [1 per cell]
3 B 0.500 0.500 0.222 [2 per cell]
4 Rh 0.000 0.500 0.247 [4 per cell]
5 Rh 0.500 0.500 0.500 [1 per cell]

Values from the calculation:
Calculated formation energy, eV/atom: -0.697
N(E_F), states/eV per atom: 0.667
Magnetic moment, μB per cell: 0.00

No. 2
Density functional theory data (PBE-GGA) for crystalline LiAlNiPt at its relaxed geometry.

a = 4.020 Å, b = 4.020 Å, c = 6.268 Å
α = 90.00°, β = 90.00°, γ = 90.00°
Space group I-4m2 (No. 119)
Symmetry-distinct sites (fractional):
1 Li 0.000 0.000 0.000 [2 per cell]
2 Al 0.000 0.000 0.500 [2 per cell]
3 Ni 0.000 0.500 0.750 [2 per cell]
4 Pt 0.000 0.500 0.250 [2 per cell]

Values from the calculation:
Calculated formation energy, eV/atom: -0.710
N(E_F), states/eV per atom: 0.261
Magnetic moment, μB per cell: 0.00

No. 3
Density functional theory data (PBE-GGA) for crystalline Er5Cr2C6 at its relaxed geometry.

a = 9.657 Å, b = 11.439 Å, c = 3.366 Å
α = 90.00°, β = 90.00°, γ = 90.00°
Space group Pbam (No. 55)
Symmetry-distinct sites (fractional):
1 Er 0.000 0.000 0.000 [2 per cell]
2 Er 0.085 0.251 0.000 [4 per cell]
3 Er 0.167 0.511 0.000 [4 per cell]
4 Cr 0.168 0.723 0.500 [4 per cell]
5 C 0.015 0.623 0.500 [4 per cell]
6 C 0.167 0.809 0.000 [4 per cell]
7 C 0.174 0.107 0.500 [4 per cell]

Values from the calculation:
Calculated formation energy, eV/atom: -0.080
N(E_F), states/eV per atom: 0.580
Magnetic moment, μB per cell: 0.00

No. 4
Density functional theory data (PBE-GGA) for crystalline La6Nd2Al at its relaxed geometry.

a = 11.574 Å, b = 5.099 Å, c = 10.960 Å
α = 90.00°, β = 110.19°, γ = 90.00°
Space group C2/m (No. 12)
Symmetry-distinct sites (fractional):
1 La 0.011 0.000 0.179 [4 per cell]
2 La 0.169 0.500 0.053 [4 per cell]
3 La 0.191 0.500 0.397 [4 per cell]
4 Nd 0.145 0.500 0.704 [4 per cell]
5 Al 0.000 0.000 0.500 [2 per cell]

Values from the calculation:
Calculated formation energy, eV/atom: -0.040
N(E_F), states/eV per atom: 1.423
Magnetic moment, μB per cell: 0.00
E above lowest polymorph, kJ per mole of atoms: 0.00

No. 5
Density functional theory data (PBE-GGA) for crystalline AcPmPr2Y6 at its relaxed geometry.

a = 9.281 Å, b = 15.482 Å, c = 9.810 Å
α = 90.00°, β = 96.72°, γ = 90.00°
Space group C2/c (No. 15)
Symmetry-distinct sites (fractional):
1 Ac 0.000 0.025 0.250 [4 per cell]
2 Pm 0.000 0.409 0.750 [4 per cell]
3 Pr 0.250 0.056 0.548 [8 per cell]
4 Y 0.064 0.192 0.941 [8 per cell]
5 Y 0.101 0.393 0.115 [8 per cell]
6 Y 0.207 0.229 0.318 [8 per cell]

Values from the calculation:
Calculated formation energy, eV/atom: 0.125
N(E_F), states/eV per atom: 1.658
Magnetic moment, μB per cell: 0.00

No. 6
Density functional theory data (PBE-GGA) for crystalline Tm4TlBi3 at its relaxed geometry.

a = 6.249 Å, b = 6.249 Å, c = 6.249 Å
α = 90.00°, β = 90.00°, γ = 90.00°
Space group Pm-3m (No. 221)
Symmetry-distinct sites (fractional):
1 Tm 0.000 0.000 0.000 [1 per cell]
2 Tm 0.000 0.500 0.500 [3 per cell]
3 Tl 0.500 0.500 0.500 [1 per cell]
4 Bi 0.000 0.000 0.500 [3 per cell]

Values from the calculation:
Calculated formation energy, eV/atom: -0.566
N(E_F), states/eV per atom: 0.410
Magnetic moment, μB per cell: 0.00
E above lowest polymorph, kJ per mole of atoms: 0.51

No. 7
Density functional theory data (PBE-GGA) for crystalline Sm5Er2In2 at its relaxed geometry.

a = 16.059 Å, b = 10.582 Å, c = 6.600 Å
α = 90.00°, β = 90.00°, γ = 90.00°
Space group Ima2 (No. 46)
Symmetry-distinct sites (fractional):
1 Sm 0.056 0.242 0.000 [8 per cell]
2 Sm 0.151 0.692 0.357 [8 per cell]
3 Sm 0.250 0.116 0.007 [4 per cell]
4 Er 0.000 0.000 0.694 [4 per cell]
5 Er 0.250 0.018 0.511 [4 per cell]
6 In 0.088 0.528 0.744 [8 per cell]

Values from the calculation:
Calculated formation energy, eV/atom: -0.048
N(E_F), states/eV per atom: 1.240
Magnetic moment, μB per cell: 0.00

No. 8
Density functional theory data (PBE-GGA) for crystalline LiAsPtAu at its relaxed geometry.

a = 6.338 Å, b = 6.338 Å, c = 6.338 Å
α = 90.00°, β = 90.00°, γ = 90.00°
Space group F-43m (No. 216)
Symmetry-distinct sites (fractional):
1 Li 0.000 0.000 0.000 [4 per cell]
2 As 0.000 0.000 0.500 [4 per cell]
3 Pt 0.250 0.250 0.750 [4 per cell]
4 Au 0.250 0.250 0.250 [4 per cell]

Values from the calculation:
Calculated formation energy, eV/atom: -0.309
N(E_F), states/eV per atom: 0.337
Magnetic moment, μB per cell: 0.00

No. 9
Density functional theory data (PBE-GGA) for crystalline ScCdRu2 at its relaxed geometry.

a = 3.258 Å, b = 3.258 Å, c = 6.324 Å
α = 90.00°, β = 90.00°, γ = 90.00°
Space group P4/mmm (No. 123)
Symmetry-distinct sites (fractional):
1 Sc 0.000 0.000 0.000 [1 per cell]
2 Cd 0.000 0.000 0.500 [1 per cell]
3 Ru 0.500 0.500 0.237 [2 per cell]

Values from the calculation:
Calculated formation energy, eV/atom: 0.009
N(E_F), states/eV per atom: 1.334
Magnetic moment, μB per cell: 0.00

No. 10
Density functional theory data (PBE-GGA) for crystalline MnCdSCl2 at its relaxed geometry.

a = 4.804 Å, b = 4.804 Å, c = 4.357 Å
α = 90.00°, β = 90.00°, γ = 90.00°
Space group P4/mmm (No. 123)
Symmetry-distinct sites (fractional):
1 Mn 0.000 0.000 0.000 [1 per cell]
2 Cd 0.500 0.500 0.500 [1 per cell]
3 S 0.000 0.000 0.500 [1 per cell]
4 Cl 0.000 0.500 0.000 [2 per cell]

Values from the calculation:
Formation energy (no corrections), meV/atom: -151.3
N(E_F), states/eV per atom: 1.327
Magnetic moment, μB per cell: 0.21
E above lowest polymorph, kJ per mole of atoms: 0.00

No. 11
Density functional theory data (PBE-GGA) for crystalline Li2TaNb2S6 at its relaxed geometry.

a = 5.883 Å, b = 10.398 Å, c = 6.710 Å
α = 90.00°, β = 105.34°, γ = 90.00°
Space group C2/m (No. 12)
Symmetry-distinct sites (fractional):
1 Li 0.000 0.175 0.000 [4 per cell]
2 Ta 0.000 0.000 0.500 [2 per cell]
3 Nb 0.000 0.362 0.500 [4 per cell]
4 S 0.233 0.170 0.729 [8 per cell]
5 S 0.245 0.000 0.240 [4 per cell]

Values from the calculation:
Formation energy (no corrections), meV/atom: -1143.8
N(E_F), states/eV per atom: 0.327
Magnetic moment, μB per cell: 0.00

No. 12
Density functional theory data (PBE-GGA) for crystalline HfSbPtI2 at its relaxed geometry.

a = 5.320 Å, b = 5.320 Å, c = 5.344 Å
α = 90.00°, β = 90.00°, γ = 90.00°
Space group P4/mmm (No. 123)
Symmetry-distinct sites (fractional):
1 Hf 0.000 0.000 0.000 [1 per cell]
2 Sb 0.500 0.500 0.000 [1 per cell]
3 Pt 0.500 0.500 0.500 [1 per cell]
4 I 0.000 0.500 0.500 [2 per cell]

Values from the calculation:
Formation energy (no corrections), meV/atom: 655.1
N(E_F), states/eV per atom: 0.574
Magnetic moment, μB per cell: 0.56
E above lowest polymorph, kJ per mole of atoms: 1.02